No. 1
Material: PmZnGa2Co2
Method: DFT, GGA-PBE
State: optimized geometry

Properties
Formation energy = -0.45 eV per formula unit
VASP energy = -4.46 eV per atom
SG = No. 123

abc: 4.3885 4.3885 5.5355
angles: 90.00 90.00 90.00
Last column: nearest neighbours and their distance in Å.
Atoms (fractional coordinates):
Ga1 0.5000 0.5000 0.7520  4 Co 2.59, 2 Ga 2.75-2.79
Ga2 0.5000 0.5000 0.2480  4 Co 2.59, 2 Ga 2.75-2.79
Zn1 0.0000 0.0000 0.0000  4 Co 2.19
Co1 0.5000 0.0000 0.0000  2 Zn 2.19
Co2 0.0000 0.5000 0.0000  2 Zn 2.19
Pm1 0.0000 0.0000 0.5000  2 Zn 2.77

No. 2
Material: Pm2ZnGa4Co3
Method: DFT, GGA-PBE
State: optimized geometry

Properties
Formation energy = -3.74 eV per formula unit
VASP energy = -4.79 eV per atom
SG = No. 115

abc: 4.0517 4.0517 10.5567
angles: 90.00 90.00 90.00
Last column: nearest neighbours and their distance in Å.
Atoms (fractional coordinates):
Co1 0.5000 0.0000 0.8697  5 Ga 2.42-2.45
Co2 0.0000 0.5000 0.1303  5 Ga 2.42-2.45
Co3 0.0000 0.0000 0.5000  4 Ga 2.51
Ga1 0.5000 0.5000 0.0000  4 Co 2.45
Ga2 0.5000 0.0000 0.6403  3 Co 2.42-2.51, 2 Zn 2.51
Ga3 0.0000 0.0000 0.0000  4 Co 2.45
Ga4 0.0000 0.5000 0.3597  3 Co 2.42-2.51, 2 Zn 2.51
Zn1 0.5000 0.5000 0.5000  4 Ga 2.51
Pm1 0.0000 0.5000 0.7602  6 Co 3.09-3.41, 8 Ga 3.13-3.24, 2 Zn 3.41
Pm2 0.5000 0.0000 0.2398  6 Co 3.09-3.41, 8 Ga 3.13-3.24, 2 Zn 3.41

No. 3
Material: PmZn2Ga4Co
Method: DFT, GGA-PBE
State: optimized geometry

Properties
Formation energy = -1.88 eV per formula unit
VASP energy = -3.55 eV per atom
SG = No. 166

abc: 4.2640 4.2640 9.1563
angles: 76.54 76.54 60.00
Last column: nearest neighbours and their distance in Å.
Atoms (fractional coordinates):
Ga1 0.1371 0.1371 0.5887  3 Co 2.58, 3 Zn 2.84
Ga2 0.5952 0.5952 0.2144  3 Zn 2.48, 1 Co 2.52
Ga3 0.4048 0.4048 0.7856  3 Zn 2.48, 1 Co 2.52
Ga4 0.8629 0.8629 0.4113  3 Co 2.58, 3 Zn 2.84
Co1 0.5000 0.5000 0.5000  8 Ga 2.52-2.58
Zn1 0.2494 0.2494 0.2518  3 Ga 2.48
Zn2 0.7506 0.7506 0.7482  3 Ga 2.48
Pm1 0.0000 0.0000 0.0000  6 Ga 3.10, 6 Zn 3.32